! ZnGeRh2N, relaxed, DFT GGA-PBE; values from VASP
&SYSTEM
  ibrav = 0, nat = 5, ntyp = 4
/
ATOMIC_SPECIES
Ge 72.64 Ge.upf
Zn 65.41 Zn.upf
N 14.01 N.upf
Rh 102.91 Rh.upf
ATOMIC_POSITIONS crystal
Ge 0.000 0.500 0.000
Zn 0.500 0.500 0.500
N 0.000 0.000 0.000
Rh 0.500 0.000 0.000
Rh 0.000 0.000 0.500
CELL_PARAMETERS angstrom
4.059 0.000 0.000
0.000 4.345 0.000
0.000 0.000 4.059
! calculated volume = 71.6 Å³/cell
! E_form (uncorrected) = 0.278 eV/atom
! E = -5.506 eV/atom